--- P ---
# TmMgGaSn

TmMgGaSn after structural relaxation (PBE-GGA, Alexandria).

Cell lengths 4.299, 4.489, 4.591 Å; angles 90.00, 90.00, 90.00 degrees
Space group Pmmm (No. 47)
One atom of each set of equivalent atoms:
Tm 0.000 0.000 0.000
Mg 0.000 0.500 0.500
Ga 0.500 0.500 0.000
Sn 0.500 0.000 0.500

Values from the calculation:
**Magnetization**: 0.00 μB/f.u.

--- Q ---
# TmMgGaSn

TmMgGaSn after structural relaxation (PBE-GGA, Alexandria).

Cell lengths 7.182, 7.182, 7.182 Å; angles 90.00, 90.00, 90.00 degrees
Space group F-43m (No. 216)
One atom of each set of equivalent atoms:
Tm 0.000 0.000 0.000
Mg 0.000 0.000 0.500
Ga 0.250 0.250 0.250
Sn 0.250 0.250 0.750

Values from the calculation:
**Magnetization**: 0.00 μB/f.u.

Computed stability ranking, most favorable first: P, Q

--- P ---
# SrMg3Ga3

SrMg3Ga3 after structural relaxation (PBE-GGA, Alexandria).

Cell lengths 9.613, 4.303, 9.629 Å; angles 90.00, 119.92, 90.00 degrees
Space group P2_1/m (No. 11)
One atom of each set of equivalent atoms:
Sr 0.166 0.250 0.333
Mg 0.206 0.250 0.775
Mg 0.276 0.750 0.070
Mg 0.430 0.750 0.705
Ga 0.038 0.250 0.946
Ga 0.091 0.750 0.537
Ga 0.446 0.750 0.409

Values from the calculation:
**Magnetization**: 0.00 μB/f.u.

--- Q ---
# SrMg3Ga3

SrMg3Ga3 after structural relaxation (PBE-GGA, Alexandria).

Cell lengths 7.487, 7.487, 7.487 Å; angles 90.00, 90.00, 90.00 degrees
Space group Pm-3n (No. 223)
One atom of each set of equivalent atoms:
Sr 0.000 0.000 0.000
Mg 0.000 0.250 0.500
Ga 0.000 0.500 0.250

Values from the calculation:
**Magnetization**: 0.00 μB/f.u.

Computed stability ranking, most favorable first: P, Q

--- P ---
# SrMg2Ga6

SrMg2Ga6 after structural relaxation (PBE-GGA, Alexandria).

Cell lengths 7.8933, 7.8933, 3.5032 Å; angles 90.00, 90.00, 120.00 degrees
Space group P6/mmm (No. 191)
One atom of each set of equivalent atoms:
Sr 0.0000 0.0000 0.0000
Mg 0.3333 0.6667 0.0000
Ga 0.0000 0.3412 0.5000

Values from the calculation:
**Magnetization**: 0.00 μB/f.u.

--- Q ---
# SrMg2Ga6

SrMg2Ga6 after structural relaxation (PBE-GGA, Alexandria).

Cell lengths 4.238, 7.396, 12.404 Å; angles 90.00, 90.00, 90.00 degrees
Space group Immm (No. 71)
One atom of each set of equivalent atoms:
Sr 0.000 0.000 0.000
Mg 0.000 0.500 0.120
Ga 0.000 0.171 0.500
Ga 0.000 0.307 0.308

Values from the calculation:
**Magnetization**: 0.00 μB/f.u.

Computed stability ranking, most favorable first: Q, P

--- P ---
# Sr3MgGa3

Sr3MgGa3 after structural relaxation (PBE-GGA, Alexandria).

Cell lengths 11.3615, 11.3615, 4.4446 Å; angles 90.00, 90.00, 120.00 degrees
Space group P6_3/m (No. 176)
One atom of each set of equivalent atoms:
Sr 0.1921 0.3912 0.2500
Mg 0.3333 0.6667 0.7500
Ga 0.0598 0.5125 0.7500

Values from the calculation:
**Magnetization**: 0.00 μB/f.u.

--- Q ---
# Sr3MgGa3

Sr3MgGa3 after structural relaxation (PBE-GGA, Alexandria).

Cell lengths 4.734, 11.788, 15.081 Å; angles 90.00, 90.00, 90.00 degrees
Space group Cmcm (No. 63)
One atom of each set of equivalent atoms:
Sr 0.000 0.001 0.250
Sr 0.000 0.283 0.606
Mg 0.000 0.000 0.000
Ga 0.000 0.298 0.250
Ga 0.000 0.422 0.095

Values from the calculation:
**Magnetization**: 0.00 μB/f.u.

Computed stability ranking, most favorable first: Q, P

--- P ---
# Sr2Mg2Ga

Sr2Mg2Ga after structural relaxation (PBE-GGA, Alexandria).

Cell lengths 11.497, 7.194, 8.031 Å; angles 90.00, 109.87, 90.00 degrees
Space group C2/c (No. 15)
One atom of each set of equivalent atoms:
Sr 0.167 0.083 0.141
Mg 0.089 0.377 0.453
Ga 0.000 0.287 0.750

Values from the calculation:
**Magnetization**: 0.00 μB/f.u.

--- Q ---
# Sr2Mg2Ga

Sr2Mg2Ga after structural relaxation (PBE-GGA, Alexandria).

Cell lengths 7.578, 7.578, 5.533 Å; angles 90.00, 90.00, 90.00 degrees
Space group P4/mbm (No. 127)
One atom of each set of equivalent atoms:
Sr 0.182 0.318 0.000
Mg 0.138 0.638 0.500
Ga 0.000 0.000 0.500

Values from the calculation:
**Magnetization**: 0.00 μB/f.u.

Computed stability ranking, most favorable first: P, Q

--- P ---
# Sr2Mg5Ga3

Sr2Mg5Ga3 after structural relaxation (PBE-GGA, Alexandria).

Cell lengths 4.518, 4.518, 12.671 Å; angles 90.00, 90.00, 90.00 degrees
Space group P-4m2 (No. 115)
One atom of each set of equivalent atoms:
Sr 0.000 0.500 0.217
Mg 0.000 0.000 0.500
Mg 0.000 0.500 0.660
Mg 0.500 0.500 0.000
Mg 0.500 0.500 0.500
Ga 0.000 0.000 0.000
Ga 0.000 0.500 0.875

Values from the calculation:
**Magnetization**: 0.00 μB/f.u.

--- Q ---
# Sr2Mg5Ga3

Sr2Mg5Ga3 after structural relaxation (PBE-GGA, Alexandria).

Cell lengths 4.685, 28.002, 7.600 Å; angles 90.00, 90.00, 90.00 degrees
Space group Cmc2_1 (No. 36)
One atom of each set of equivalent atoms:
Sr 0.000 0.020 0.000
Sr 0.000 0.324 0.953
Mg 0.000 0.098 0.642
Mg 0.000 0.207 0.150
Mg 0.000 0.208 0.761
Mg 0.000 0.372 0.475
Mg 0.000 0.443 0.830
Ga 0.000 0.111 0.261
Ga 0.000 0.268 0.454
Ga 0.000 0.453 0.212

Values from the calculation:
**Magnetization**: 0.00 μB/f.u.

Computed stability ranking, most favorable first: Q, P

--- P ---
# Sr2Mg3Ga2

Sr2Mg3Ga2 after structural relaxation (PBE-GGA, Alexandria).

Cell lengths 11.716, 4.617, 7.900 Å; angles 90.00, 116.12, 90.00 degrees
Space group C2/m (No. 12)
One atom of each set of equivalent atoms:
Sr 0.141 0.000 0.276
Mg 0.000 0.500 0.500
Mg 0.133 0.500 0.930
Ga 0.145 0.000 0.710

Values from the calculation:
**Magnetization**: 0.00 μB/f.u.

--- Q ---
# Sr2Mg3Ga2

Sr2Mg3Ga2 after structural relaxation (PBE-GGA, Alexandria).

Cell lengths 11.390, 4.727, 7.390 Å; angles 90.00, 103.24, 90.00 degrees
Space group C2/m (No. 12)
One atom of each set of equivalent atoms:
Sr 0.121 0.000 0.359
Mg 0.000 0.500 0.000
Mg 0.188 0.000 0.879
Ga 0.097 0.500 0.687

Values from the calculation:
**Magnetization**: 0.00 μB/f.u.

Computed stability ranking, most favorable first: P, Q

--- P ---
# Mg2TaGa2

Mg2TaGa2 after structural relaxation (PBE-GGA, Alexandria).

Cell lengths 3.886, 3.886, 11.961 Å; angles 90.00, 90.00, 90.00 degrees
Space group I4/mmm (No. 139)
One atom of each set of equivalent atoms:
Mg 0.000 0.500 0.250
Ta 0.000 0.000 0.000
Ga 0.000 0.000 0.403

Values from the calculation:
**Magnetization**: 0.00 μB/f.u.

--- Q ---
# Mg2TaGa2

Mg2TaGa2 after structural relaxation (PBE-GGA, Alexandria).

Cell lengths 7.534, 7.534, 3.159 Å; angles 90.00, 90.00, 90.00 degrees
Space group P4/mbm (No. 127)
One atom of each set of equivalent atoms:
Mg 0.158 0.342 0.000
Ta 0.000 0.000 0.500
Ga 0.144 0.644 0.500

Values from the calculation:
**Magnetization**: 0.00 μB/f.u.

Computed stability ranking, most favorable first: Q, P